Arrangement A

# Cu2RhCl (GGA-PBEsol, relaxed)
# magnetic moment	0.00	μB/cell
# D(E_F)	7.049	states/eV per cell
data_Cu2RhCl
_chemical_formula_sum 'Cu4 Rh2 Cl2'
_cell_length_a 7.9390
_cell_length_b 2.8624
_cell_length_c 5.8464
_cell_angle_alpha 90.00
_cell_angle_beta 98.97
_cell_angle_gamma 90.00
_symmetry_space_group_name_H-M 'C 1 m 1'
_symmetry_Int_Tables_number 8
loop_
_symmetry_equiv_pos_as_xyz
'x,y,z'
'x,-y,z'
'x+1/2,y+1/2,z'
'x+1/2,-y+1/2,z'
loop_
_atom_site_label
_atom_site_fract_x
_atom_site_fract_y
_atom_site_fract_z
Cu1 0.0000 0.0000 0.0000
Cu2 0.2434 0.5000 0.1773
Rh1 0.2584 0.0000 0.8196
Cl1 0.1507 0.5000 0.5166



Arrangement B

# Cu2RhCl (GGA-PBEsol, relaxed)
# magnetic moment	0.77	μB/cell
# D(E_F)	4.358	states/eV per cell
data_Cu2RhCl
_chemical_formula_sum 'Cu2 Rh1 Cl1'
_cell_length_a 2.9743
_cell_length_b 2.9743
_cell_length_c 6.1344
_cell_angle_alpha 90.00
_cell_angle_beta 90.00
_cell_angle_gamma 90.00
_symmetry_space_group_name_H-M 'P 4 m m'
_symmetry_Int_Tables_number 99
loop_
_symmetry_equiv_pos_as_xyz
'x,y,z'
'-y,x,z'
'-x,-y,z'
'y,-x,z'
'-x,y,z'
'y,x,z'
'x,-y,z'
'-y,-x,z'
loop_
_atom_site_label
_atom_site_fract_x
_atom_site_fract_y
_atom_site_fract_z
Cu1 0.0000 0.0000 0.0000
Cu2 0.5000 0.5000 0.2152
Rh1 0.0000 0.0000 0.4406
Cl1 0.5000 0.5000 0.7359



Arrangement C

# Cu2RhCl (GGA-PBEsol, relaxed)
# magnetic moment	0.39	μB/cell
# D(E_F)	15.129	states/eV per cell
data_Cu2RhCl
_chemical_formula_sum 'Cu6 Rh3 Cl3'
_cell_length_a 2.8872
_cell_length_b 2.8872
_cell_length_c 22.6311
_cell_angle_alpha 90.00
_cell_angle_beta 90.00
_cell_angle_gamma 120.00
_symmetry_space_group_name_H-M 'R -3 m'
_symmetry_Int_Tables_number 166
_symmetry_space_group_name_Hall '-R 3 2"'
loop_
_atom_site_label
_atom_site_fract_x
_atom_site_fract_y
_atom_site_fract_z
Cu1 0.0000 0.0000 0.2475
Rh1 0.0000 0.0000 0.0000
Cl1 0.0000 0.0000 0.5000



Of them, the most stable is arrangement C and the least stable is arrangement B.